1.
12
Lattice="-0.1890 -1.4358 -4.2179 4.7660 -5.8969 1.7938 -11.4868 -9.7895 3.8470" Properties=species:S:1:pos:R:3 comment="NdAgI4, relaxed, DFT PBE" formation_energy_uncorrected_mev_per_atom=-988 vol_a3_per_atom=44.95 total_magnetization_mub_per_atom=0.000 rho_g_cm3=4.7 pbc="T T T"
Nd -5.7434 -4.8947 1.9235
Nd 2.2885 -3.6664 -1.2121
Ag -3.4549 -8.5611 0.7114
Ag 0.0000 0.0000 0.0000
I -3.6307 -5.3580 -0.3706
I -0.0131 -4.6386 -3.1351
I -3.2790 -11.7642 1.7934
I -6.8967 -12.4835 4.5580
I -1.5102 -9.2903 -1.4848
I 2.6323 -6.6034 -0.2275
I -5.3996 -7.8319 2.9077
I -9.5421 -10.5188 1.6503

2.
10
Lattice="6.6337 0.0000 0.0000 0.0000 6.6337 0.0000 0.0000 0.0000 2.6210" Properties=species:S:1:pos:R:3 comment="Fe2MoP2, relaxed, DFT PBE" vol_a3_per_atom=11.53 total_magnetization_mub_per_atom=0.000 ef_ev_per_atom=-0.3126 rho_g_cm3=7.8 pbc="T T T"
P 2.2931 5.6100 0.0000
P 5.6100 4.3405 0.0000
P 4.3405 1.0237 0.0000
P 1.0237 2.2931 0.0000
Mo 0.0000 0.0000 0.0000
Mo 3.3168 3.3168 0.0000
Fe 0.9473 4.2641 1.3105
Fe 4.2641 5.6864 1.3105
Fe 5.6864 2.3695 1.3105
Fe 2.3695 0.9473 1.3105

What did we get for DFT total energy? Answer: -39.50, -80.28 eV for the cell shown, in the order shown.